No. 1
# ScAsSe2 | Alexandria | PBE | relaxed
# - E_form (uncorrected): -0.597 eV/atom
# - Total DFT energy (no corrections): -20.34 eV per formula unit
# - Total magnetic moment: 0.000 Bohr magnetons per cell
data_ScAsSe2
_cell_length_a 6.894
_cell_length_b 6.894
_cell_length_c 6.894
_cell_angle_alpha 148.30
_cell_angle_beta 148.30
_cell_angle_gamma 45.44
_space_group_name_H-M_alt 'P 1'
_space_group_IT_number 1
loop_
_space_group_symop_operation_xyz
'x,y,z'
loop_
_atom_site_label
_atom_site_type_symbol
_atom_site_fract_x
_atom_site_fract_y
_atom_site_fract_z
Sc1 Sc 0.000 0.000 0.000
As1 As 0.750 0.250 0.500
Se1 Se 0.250 0.750 0.500
Se2 Se 0.500 0.500 0.000

No. 2
# RbAsH3 | Alexandria | PBE | relaxed
# - Total DFT energy (no corrections): -15.04 eV per formula unit
# - Total magnetic moment: 0.000 Bohr magnetons per cell
# - Energy above the most stable polymorph in this dataset: 240 meV per atom
data_RbAsH3
_cell_length_a 4.067
_cell_length_b 4.067
_cell_length_c 4.067
_cell_angle_alpha 90.00
_cell_angle_beta 90.00
_cell_angle_gamma 90.00
_space_group_name_H-M_alt 'P 1'
_space_group_IT_number 1
loop_
_space_group_symop_operation_xyz
'x,y,z'
loop_
_atom_site_label
_atom_site_type_symbol
_atom_site_fract_x
_atom_site_fract_y
_atom_site_fract_z
Rb1 Rb 0.000 0.000 0.000
As1 As 0.500 0.500 0.500
H1 H 0.000 0.500 0.500
H2 H 0.500 0.000 0.500
H3 H 0.500 0.500 0.000

No. 3
# Er2Tm2Ag3 | Alexandria | PBE | relaxed
# - Formation energy from the elements: -1.2 eV/f.u.
# - Total DFT energy (no corrections): -27.87 eV per formula unit
# - Total magnetic moment: 0.000 Bohr magnetons per cell
data_Er2Tm2Ag3
_cell_length_a 5.027
_cell_length_b 5.034
_cell_length_c 8.681
_cell_angle_alpha 73.39
_cell_angle_beta 73.23
_cell_angle_gamma 60.15
_space_group_name_H-M_alt 'P 1'
_space_group_IT_number 1
loop_
_space_group_symop_operation_xyz
'x,y,z'
loop_
_atom_site_label
_atom_site_type_symbol
_atom_site_fract_x
_atom_site_fract_y
_atom_site_fract_z
Er1 Er 0.126 0.128 0.120
Er2 Er 0.874 0.872 0.880
Tm1 Tm 0.377 0.378 0.369
Tm2 Tm 0.623 0.622 0.631
Ag1 Ag 0.000 0.000 0.500
Ag2 Ag 0.251 0.249 0.749
Ag3 Ag 0.749 0.751 0.251

No. 4
# Ce2ErZn | Alexandria | PBE | relaxed
# - Formation energy from the elements: 0.5 eV/f.u.
# - Total DFT energy (no corrections): -17.25 eV per formula unit
# - Total magnetic moment: 2.323 Bohr magnetons per cell
# - Energy above the most stable polymorph in this dataset: 132 meV per atom
data_Ce2ErZn
_cell_length_a 5.325
_cell_length_b 5.325
_cell_length_c 5.325
_cell_angle_alpha 60.00
_cell_angle_beta 60.00
_cell_angle_gamma 60.00
_space_group_name_H-M_alt 'P 1'
_space_group_IT_number 1
loop_
_space_group_symop_operation_xyz
'x,y,z'
loop_
_atom_site_label
_atom_site_type_symbol
_atom_site_fract_x
_atom_site_fract_y
_atom_site_fract_z
Ce1 Ce 0.250 0.250 0.250
Ce2 Ce 0.750 0.750 0.750
Er1 Er 0.000 0.000 0.000
Zn1 Zn 0.500 0.500 0.500

No. 5
# AcGaCo | Alexandria | PBE | relaxed
# - Formation energy from the elements: -0.1 eV/f.u.
# - Total DFT energy (no corrections): -14.30 eV per formula unit
# - Total magnetic moment: 0.774 Bohr magnetons per cell
# - Energy above the most stable polymorph in this dataset: 325 meV per atom
data_AcGaCo
_cell_length_a 6.074
_cell_length_b 6.074
_cell_length_c 6.074
_cell_angle_alpha 147.62
_cell_angle_beta 147.62
_cell_angle_gamma 46.45
_space_group_name_H-M_alt 'P 1'
_space_group_IT_number 1
loop_
_space_group_symop_operation_xyz
'x,y,z'
loop_
_atom_site_label
_atom_site_type_symbol
_atom_site_fract_x
_atom_site_fract_y
_atom_site_fract_z
Ac1 Ac 0.000 0.000 0.000
Ga1 Ga 0.718 0.718 0.000
Co1 Co 0.303 0.303 0.000

> The highest total DFT energy (no corrections) belongs to which entry?

AcGaCo

> Which of these has the highest total magnetic moment?

Ce2ErZn

What did the third record say?
# Er2Tm2Ag3 | Alexandria | PBE | relaxed
# - Formation energy from the elements: -1.2 eV/f.u.
# - Total DFT energy (no corrections): -27.87 eV per formula unit
# - Total magnetic moment: 0.000 Bohr magnetons per cell
data_Er2Tm2Ag3
_cell_length_a 5.027
_cell_length_b 5.034
_cell_length_c 8.681
_cell_angle_alpha 73.39
_cell_angle_beta 73.23
_cell_angle_gamma 60.15
_space_group_name_H-M_alt 'P 1'
_space_group_IT_number 1
loop_
_space_group_symop_operation_xyz
'x,y,z'
loop_
_atom_site_label
_atom_site_type_symbol
_atom_site_fract_x
_atom_site_fract_y
_atom_site_fract_z
Er1 Er 0.126 0.128 0.120
Er2 Er 0.874 0.872 0.880
Tm1 Tm 0.377 0.378 0.369
Tm2 Tm 0.623 0.622 0.631
Ag1 Ag 0.000 0.000 0.500
Ag2 Ag 0.251 0.249 0.749
Ag3 Ag 0.749 0.751 0.251

> Look up the total DFT energy (no corrections) of the fifth one.

-14.30 eV per formula unit